Material: EuYAu2
Method: DFT, PBE
State: optimized geometry

The structure belongs to space group P4/mmm (No. 123); the cell edges are 3.6687, 3.6687 and 7.3916 Å and the angles 90.00°, 90.00° and 90.00°. The inequivalent atoms are Eu at (0.0000, 0.0000, 0.0000), Y at (0.0000, 0.0000, 0.5000) and Au at (0.5000, 0.5000, 0.2782).

The calculation puts the relative energy among the computed polymorphs at 0 meV per atom. The calculation puts the formation enthalpy at 0 K at -0.82 eV per atom. The total energy comes out at -26.58 eV/cell.